(1)
## Na2Mn2VS6 (PBE-GGA)

Data for an optimized crystal structure of Na2Mn2VS6.

a = 6.093 Å, b = 6.093 Å, c = 6.982 Å
α = 98.64°, β = 98.64°, γ = 119.47°
Fractional positions:
1 Na 0.167 0.833 0.000
2 Na 0.833 0.167 0.000
3 Mn 0.333 0.667 0.500
4 Mn 0.667 0.333 0.500
5 V 0.000 0.000 0.500
6 S 0.063 0.400 0.695
7 S 0.271 0.271 0.305
8 S 0.400 0.063 0.695
9 S 0.600 0.937 0.305
10 S 0.729 0.729 0.695
11 S 0.937 0.600 0.305

magnetization: 9.04 μB per cell
crystal system: monoclinic
calculated volume: 215.44 Å³ per cell
D(E_F): 2.717 states/eV/f.u.
electronic total energy: -5.82 eV/atom

---

(2)
## Na3Mn3VS8 (PBE-GGA)

Data for an optimized crystal structure of Na3Mn3VS8.

a = 7.831 Å, b = 7.831 Å, c = 7.831 Å
α = 53.71°, β = 53.71°, γ = 53.71°
Fractional positions:
1 Na 0.000 0.500 0.500
2 Na 0.500 0.000 0.500
3 Na 0.500 0.500 0.000
4 Mn 0.000 0.000 0.500
5 Mn 0.000 0.500 0.000
6 Mn 0.500 0.000 0.000
7 V 0.500 0.500 0.500
8 S 0.232 0.732 0.732
9 S 0.234 0.234 0.234
10 S 0.268 0.268 0.768
11 S 0.268 0.768 0.268
12 S 0.732 0.232 0.732
13 S 0.732 0.732 0.232
14 S 0.766 0.766 0.766
15 S 0.768 0.268 0.268

magnetization: 12.97 μB per cell
crystal system: trigonal
calculated volume: 289.66 Å³ per cell
D(E_F): 7.370 states/eV/f.u.
electronic total energy: -5.72 eV/atom

---

(3)
## Na3MnV3S8 (PBE-GGA)

Data for an optimized crystal structure of Na3MnV3S8.

a = 7.810 Å, b = 7.810 Å, c = 7.810 Å
α = 53.69°, β = 53.69°, γ = 53.69°
Fractional positions:
1 Na 0.000 0.500 0.500
2 Na 0.500 0.000 0.500
3 Na 0.500 0.500 0.000
4 Mn 0.500 0.500 0.500
5 V 0.000 0.000 0.500
6 V 0.000 0.500 0.000
7 V 0.500 0.000 0.000
8 S 0.235 0.235 0.235
9 S 0.235 0.731 0.731
10 S 0.269 0.269 0.765
11 S 0.269 0.765 0.269
12 S 0.731 0.235 0.731
13 S 0.731 0.731 0.235
14 S 0.765 0.269 0.269
15 S 0.765 0.765 0.765

magnetization: 9.04 μB per cell
crystal system: trigonal
calculated volume: 287.14 Å³ per cell
D(E_F): 11.115 states/eV/f.u.
electronic total energy: -5.85 eV/atom

---

(4)
## Na3Mn2VS6 (PBE-GGA)

Data for an optimized crystal structure of Na3Mn2VS6.

a = 6.282 Å, b = 6.282 Å, c = 6.821 Å
α = 98.83°, β = 98.83°, γ = 120.03°
Fractional positions:
1 Na 0.000 0.000 0.000
2 Na 0.332 0.668 0.000
3 Na 0.668 0.332 0.000
4 Mn 0.166 0.834 0.500
5 Mn 0.834 0.166 0.500
6 V 0.500 0.500 0.500
7 S 0.102 0.433 0.299
8 S 0.237 0.237 0.701
9 S 0.433 0.102 0.299
10 S 0.567 0.898 0.701
11 S 0.763 0.763 0.299
12 S 0.898 0.567 0.701

magnetization: 10.01 μB per cell
crystal system: monoclinic
calculated volume: 221.81 Å³ per cell
D(E_F): 4.589 states/eV/f.u.
electronic total energy: -5.57 eV/atom

---

(5)
## Na2MnV2S6 (PBE-GGA)

Data for an optimized crystal structure of Na2MnV2S6.

a = 5.814 Å, b = 5.814 Å, c = 7.167 Å
α = 96.81°, β = 96.81°, γ = 120.67°
Fractional positions:
1 Na 0.175 0.825 0.000
2 Na 0.825 0.175 0.000
3 Mn 0.000 0.000 0.500
4 V 0.361 0.639 0.500
5 V 0.639 0.361 0.500
6 S 0.049 0.386 0.689
7 S 0.257 0.257 0.282
8 S 0.386 0.049 0.689
9 S 0.614 0.951 0.311
10 S 0.743 0.743 0.718
11 S 0.951 0.614 0.311

magnetization: 0.92 μB per cell
crystal system: monoclinic
calculated volume: 202.28 Å³ per cell
D(E_F): 2.728 states/eV/f.u.
electronic total energy: -5.89 eV/atom

---

(6)
## Na4Mn3WS8 (PBE-GGA)

Data for an optimized crystal structure of Na4Mn3WS8.

a = 7.770 Å, b = 7.770 Å, c = 7.770 Å
α = 56.28°, β = 56.28°, γ = 56.28°
Fractional positions:
1 Na 0.000 0.000 0.000
2 Na 0.000 0.500 0.500
3 Na 0.500 0.000 0.500
4 Na 0.500 0.500 0.000
5 Mn 0.000 0.000 0.500
6 Mn 0.000 0.500 0.000
7 Mn 0.500 0.000 0.000
8 W 0.500 0.500 0.500
9 S 0.231 0.231 0.231
10 S 0.250 0.730 0.730
11 S 0.270 0.270 0.750
12 S 0.270 0.750 0.270
13 S 0.730 0.250 0.730
14 S 0.730 0.730 0.250
15 S 0.750 0.270 0.270
16 S 0.769 0.769 0.769

magnetization: 13.80 μB per cell
crystal system: trigonal
calculated volume: 303.20 Å³ per cell
D(E_F): 7.782 states/eV/f.u.
electronic total energy: -5.68 eV/atom

---

(7)
## Na3Mn3WS8 (PBE-GGA)

Data for an optimized crystal structure of Na3Mn3WS8.

a = 7.063 Å, b = 7.063 Å, c = 7.883 Å
α = 116.69°, β = 116.69°, γ = 59.96°
Fractional positions:
1 Na 0.000 0.000 0.000
2 Na 0.000 0.500 0.000
3 Na 0.500 0.000 0.000
4 Mn 0.000 0.500 0.500
5 Mn 0.500 0.000 0.500
6 Mn 0.500 0.500 0.500
7 W 0.000 0.000 0.500
8 S 0.233 0.233 0.701
9 S 0.233 0.735 0.701
10 S 0.265 0.767 0.299
11 S 0.266 0.266 0.298
12 S 0.734 0.734 0.702
13 S 0.735 0.233 0.701
14 S 0.767 0.265 0.299
15 S 0.767 0.767 0.299

magnetization: 11.03 μB per cell
crystal system: monoclinic
calculated volume: 291.13 Å³ per cell
D(E_F): 8.017 states/eV/f.u.
electronic total energy: -5.88 eV/atom

---

(8)
## Na2Mn2WS6 (PBE-GGA)

Data for an optimized crystal structure of Na2Mn2WS6.

a = 5.950 Å, b = 5.950 Å, c = 7.155 Å
α = 98.12°, β = 98.12°, γ = 119.48°
Fractional positions:
1 Na 0.165 0.835 0.000
2 Na 0.835 0.165 0.000
3 Mn 0.332 0.668 0.500
4 Mn 0.668 0.332 0.500
5 W 0.000 0.000 0.500
6 S 0.064 0.404 0.701
7 S 0.275 0.275 0.301
8 S 0.404 0.064 0.701
9 S 0.596 0.936 0.299
10 S 0.725 0.725 0.699
11 S 0.936 0.596 0.299

magnetization: 4.67 μB per cell
crystal system: monoclinic
calculated volume: 211.62 Å³ per cell
D(E_F): 5.651 states/eV/f.u.
electronic total energy: -6.02 eV/atom